Here is an optimized crystal structure of AsW from the Alexandria database. Energies are from PBE.

a b c (Å): 4.3667 4.3667 13.3757
angles (deg): 90.00 90.00 120.00
Last column: nearest neighbours and their distance in Å.
Atoms (fractional coordinates):
As (0.0000, 0.0000, 0.2092)  4 W 2.51-2.79
As (0.0000, 0.0000, 0.7908)  4 W 2.51-2.79
As (0.3333, 0.6667, 0.0839)  4 W 2.57-2.72
As (0.3333, 0.6667, 0.4247)  3 W 2.55
As (0.6667, 0.3333, 0.5753)  3 W 2.55
As (0.6667, 0.3333, 0.9161)  4 W 2.57-2.72
W (0.0000, 0.0000, 0.3970)  4 As 2.51-2.55, 4 W 2.75-2.76
W (0.0000, 0.0000, 0.6030)  4 As 2.51-2.55, 4 W 2.75-2.76
W (0.3333, 0.6667, 0.6853)  4 W 2.61-2.75, 6 As 2.89-2.92
W (0.3333, 0.6667, 0.8803)  7 As 2.57-2.79, 1 W 2.61
W (0.6667, 0.3333, 0.1197)  7 As 2.57-2.79, 1 W 2.61
W (0.6667, 0.3333, 0.3147)  4 W 2.61-2.75, 6 As 2.89-2.92

Values from the calculation:
The magnetization comes out at 0.0 μB/f.u. Its crystal system is trigonal. For the energy relative to the elements, the calculation gives 0.35 eV per atom. The density of states at the Fermi level comes out at 6.12 states/eV/cell. The density comes out at 11.67 g cm⁻³.

---

Here is an optimized crystal structure of AsW from the Alexandria database. Energies are from PBE.

a b c (Å): 4.4851 4.4851 8.2252
angles (deg): 90.00 90.00 120.00
Last column: nearest neighbours and their distance in Å.
Atoms (fractional coordinates):
As (0.3333, 0.6667, 0.0838)  4 As 2.73-2.93, 7 W 2.75-2.93
As (0.3333, 0.6667, 0.4162)  4 As 2.73-2.93, 7 W 2.75-2.93
As (0.6667, 0.3333, 0.5838)  4 As 2.73-2.93, 7 W 2.75-2.93
As (0.6667, 0.3333, 0.9162)  4 As 2.73-2.93, 7 W 2.75-2.93
W (0.0000, 0.0000, 0.2500)  3 W 2.59
W (0.0000, 0.0000, 0.7500)  3 W 2.59
W (0.3333, 0.6667, 0.7500)  3 W 2.59, 2 As 2.75
W (0.6667, 0.3333, 0.2500)  3 W 2.59, 2 As 2.75

Values from the calculation:
The magnetization comes out at 0.0 μB/f.u. Its crystal system is hexagonal. For the energy relative to the elements, the calculation gives 0.64 eV per atom. The density of states at the Fermi level comes out at 3.76 states/eV/cell. The density comes out at 11.99 g cm⁻³.

---

Here is an optimized crystal structure of As3W from the Alexandria database. Energies are from PBE.

a b c (Å): 8.9181 8.9181 8.9181
angles (deg): 20.12 20.12 20.12
Last column: nearest neighbours and their distance in Å.
Atoms (fractional coordinates):
As (0.0000, 0.0000, 0.0000)  12 As 3.07-3.12
As (0.2385, 0.2385, 0.2385)  3 W 2.60
As (0.7615, 0.7615, 0.7615)  3 W 2.60
W (0.5000, 0.5000, 0.5000)  6 As 2.60

Values from the calculation:
The magnetization comes out at 0.0 μB/f.u. Its crystal system is trigonal. For the energy relative to the elements, the calculation gives 0.23 eV per atom. The density of states at the Fermi level comes out at 2.77 states/eV/cell. The density comes out at 9.24 g cm⁻³. The value obtained for the energy relative to the lowest polymorph listed for this composition is 132.2 meV per atom.

---

Here is an optimized crystal structure of AsW from the Alexandria database. Energies are from PBE.

a b c (Å): 10.8054 10.8054 3.4478
angles (deg): 90.00 90.00 90.00
Last column: nearest neighbours and their distance in Å.
Atoms (fractional coordinates):
As (0.0444, 0.7048, 0.0000)  4 W 2.54-2.66
As (0.2844, 0.4214, 0.5000)  4 W 2.47-2.52
As (0.2952, 0.0444, 0.0000)  4 W 2.54-2.66
As (0.4214, 0.7156, 0.5000)  4 W 2.47-2.52
As (0.5786, 0.2844, 0.5000)  4 W 2.47-2.52
As (0.7048, 0.9556, 0.0000)  4 W 2.54-2.66
As (0.7156, 0.5786, 0.5000)  4 W 2.47-2.52
As (0.9556, 0.2952, 0.0000)  4 W 2.54-2.66
W (0.1213, 0.4708, 0.0000)  4 As 2.52-2.66, 3 W 2.68-2.70
W (0.2050, 0.6412, 0.5000)  4 As 2.47-2.54, 2 W 2.68
W (0.3588, 0.2050, 0.5000)  4 As 2.47-2.54, 2 W 2.68
W (0.4708, 0.8787, 0.0000)  4 As 2.52-2.66, 3 W 2.68-2.70
W (0.5292, 0.1213, 0.0000)  4 As 2.52-2.66, 3 W 2.68-2.70
W (0.6412, 0.7950, 0.5000)  4 As 2.47-2.54, 2 W 2.68
W (0.7950, 0.3588, 0.5000)  4 As 2.47-2.54, 2 W 2.68
W (0.8787, 0.5292, 0.0000)  4 As 2.52-2.66, 3 W 2.68-2.70

Values from the calculation:
The magnetization comes out at 0.0 μB/f.u. Its crystal system is tetragonal. For the energy relative to the elements, the calculation gives 0.46 eV per atom. The density of states at the Fermi level comes out at 6.66 states/eV/cell. The density comes out at 8.54 g cm⁻³.

---

Here is an optimized crystal structure of As2W from the Alexandria database. Energies are from PBE.

a b c (Å): 4.8569 4.8569 6.9492
angles (deg): 96.40 96.40 39.99
Last column: nearest neighbours and their distance in Å.
Atoms (fractional coordinates):
As (0.0000, 0.0000, 0.0000)  3 As 2.55-2.84, 3 W 2.64-2.76
As (0.3654, 0.3654, 0.5413)  4 W 2.63-2.70, 1 As 2.80
As (0.6110, 0.6110, 0.3351)  5 W 2.68-2.93, 3 As 2.80-2.94
As (0.7245, 0.7245, 0.8804)  3 As 2.55-2.84, 4 W 2.61-2.62
W (0.0861, 0.0861, 0.6325)  8 As 2.61-2.76
W (0.3228, 0.3228, 0.1569)  6 As 2.62-2.77

Values from the calculation:
The magnetization comes out at 0.0 μB/f.u. Its crystal system is monoclinic. For the energy relative to the elements, the calculation gives 0.32 eV per atom. The density of states at the Fermi level comes out at 3.75 states/eV/cell. The density comes out at 10.59 g cm⁻³.

---

Here is an optimized crystal structure of AsW from the Alexandria database. Energies are from PBE.

a b c (Å): 2.9783 2.9783 10.0676
angles (deg): 90.00 90.00 120.00
Last column: nearest neighbours and their distance in Å.
Atoms (fractional coordinates):
As (0.3333, 0.6667, 0.1884)  3 W 2.69, 6 As 2.98
As (0.6667, 0.3333, 0.8116)  3 W 2.69, 6 As 2.98
W (0.3333, 0.6667, 0.6059)  3 As 2.69, 9 W 2.74-2.98
W (0.6667, 0.3333, 0.3941)  3 As 2.69, 9 W 2.74-2.98

Values from the calculation:
The magnetization comes out at 0.0 μB/f.u. Its crystal system is trigonal. For the energy relative to the elements, the calculation gives 0.20 eV per atom. The density of states at the Fermi level comes out at 2.26 states/eV/cell. The density comes out at 11.11 g cm⁻³.

---

Here is an optimized crystal structure of As3W from the Alexandria database. Energies are from PBE.

a b c (Å): 5.1440 5.1440 5.1440
angles (deg): 90.00 90.00 90.00
Last column: nearest neighbours and their distance in Å.
Atoms (fractional coordinates):
As (0.0000, 0.2500, 0.5000)  2 As 2.57, 4 W 2.88
As (0.0000, 0.7500, 0.5000)  2 As 2.57, 4 W 2.88
As (0.2500, 0.5000, 0.0000)  2 As 2.57, 4 W 2.88
As (0.5000, 0.0000, 0.2500)  2 As 2.57, 4 W 2.88
As (0.5000, 0.0000, 0.7500)  2 As 2.57, 4 W 2.88
As (0.7500, 0.5000, 0.0000)  2 As 2.57, 4 W 2.88
W (0.0000, 0.0000, 0.0000)  12 As 2.88
W (0.5000, 0.5000, 0.5000)  12 As 2.88

Values from the calculation:
The magnetization comes out at 0.0 μB/f.u. Its crystal system is cubic. For the energy relative to the elements, the calculation gives 0.43 eV per atom. The density of states at the Fermi level comes out at 4.02 states/eV/cell. The density comes out at 9.97 g cm⁻³. The value obtained for the energy relative to the lowest polymorph listed for this composition is 333.7 meV per atom.

---

Here is an optimized crystal structure of AsW from the Alexandria database. Energies are from PBE.

a b c (Å): 6.9406 6.9406 6.9406
angles (deg): 90.00 90.00 90.00
Last column: nearest neighbours and their distance in Å.
Atoms (fractional coordinates):
As (0.0000, 0.2500, 0.5000)  4 W 2.45
As (0.0000, 0.7500, 0.5000)  4 W 2.45
As (0.2500, 0.5000, 0.0000)  4 W 2.45
As (0.5000, 0.0000, 0.2500)  4 W 2.45
As (0.5000, 0.0000, 0.7500)  4 W 2.45
As (0.7500, 0.5000, 0.0000)  4 W 2.45
W (0.0000, 0.5000, 0.2500)  4 As 2.45
W (0.0000, 0.5000, 0.7500)  4 As 2.45
W (0.2500, 0.0000, 0.5000)  4 As 2.45
W (0.5000, 0.2500, 0.0000)  4 As 2.45
W (0.5000, 0.7500, 0.0000)  4 As 2.45
W (0.7500, 0.0000, 0.5000)  4 As 2.45

Values from the calculation:
The magnetization comes out at 0.0 μB/f.u. Its crystal system is cubic. For the energy relative to the elements, the calculation gives 1.16 eV per atom. The density of states at the Fermi level comes out at 15.26 states/eV/cell. The density comes out at 7.71 g cm⁻³.

---

Here is an optimized crystal structure of As2W3 from the Alexandria database. Energies are from PBE.

a b c (Å): 4.0980 4.0980 5.9046
angles (deg): 90.00 90.00 120.00
Last column: nearest neighbours and their distance in Å.
Atoms (fractional coordinates):
As (0.3333, 0.6667, 0.3044)  7 W 2.57-2.63
As (0.6667, 0.3333, 0.6956)  7 W 2.57-2.63
W (0.0000, 0.0000, 0.5000)  6 As 2.63
W (0.3333, 0.6667, 0.8697)  4 As 2.57-2.58, 3 W 2.82
W (0.6667, 0.3333, 0.1303)  4 As 2.57-2.58, 3 W 2.82

Values from the calculation:
The magnetization comes out at 0.4 μB/f.u. Its crystal system is trigonal. For the energy relative to the elements, the calculation gives 0.71 eV per atom. The density of states at the Fermi level comes out at 5.59 states/eV/cell. The density comes out at 13.56 g cm⁻³. The value obtained for the energy relative to the lowest polymorph listed for this composition is 264.5 meV per atom.

---

Here is an optimized crystal structure of As2W3 from the Alexandria database. Energies are from PBE.

a b c (Å): 10.3939 10.3939 10.3939
angles (deg): 16.65 16.65 16.65
Last column: nearest neighbours and their distance in Å.
Atoms (fractional coordinates):
As (0.1003, 0.1003, 0.1003)  6 W 2.66-2.68
As (0.8997, 0.8997, 0.8997)  6 W 2.66-2.68
W (0.2987, 0.2987, 0.2987)  3 As 2.66, 3 W 2.75
W (0.5000, 0.5000, 0.5000)  6 As 2.68
W (0.7013, 0.7013, 0.7013)  3 As 2.66, 3 W 2.75

Values from the calculation:
The magnetization comes out at 0.0 μB/f.u. Its crystal system is trigonal. For the energy relative to the elements, the calculation gives 0.44 eV per atom. The density of states at the Fermi level comes out at 3.88 states/eV/cell. The density comes out at 14.49 g cm⁻³. The value obtained for the energy relative to the lowest polymorph listed for this composition is 0.0 meV per atom.

---

Here is an optimized crystal structure of As2W from the Alexandria database. Energies are from PBE.

a b c (Å): 4.9004 4.9004 4.9004
angles (deg): 139.46 139.46 58.68
Last column: nearest neighbours and their distance in Å.
Atoms (fractional coordinates):
As (0.1612, 0.1612, 0.0000)  5 As 2.76-2.84, 5 W 2.77-2.89
As (0.8388, 0.8388, 0.0000)  5 As 2.76-2.84, 5 W 2.77-2.89
W (0.5000, 0.5000, 0.0000)  10 As 2.77-2.89

Values from the calculation:
The magnetization comes out at 0.0 μB/f.u. Its crystal system is tetragonal. For the energy relative to the elements, the calculation gives 0.27 eV per atom. The density of states at the Fermi level comes out at 1.83 states/eV/cell. The density comes out at 11.25 g cm⁻³.

---

Here is an optimized crystal structure of As5W from the Alexandria database. Energies are from PBE.

a b c (Å): 7.7215 7.7215 3.2415
angles (deg): 90.00 90.00 143.36
Last column: nearest neighbours and their distance in Å.
Atoms (fractional coordinates):
As (0.0000, 0.0000, 0.0000)  4 As 2.64, 4 W 2.92
As (0.1425, 0.8575, 0.5000)  6 As 2.64-2.92
As (0.3567, 0.6433, 0.0000)  2 W 2.65, 4 As 2.92
As (0.6433, 0.3567, 0.0000)  2 W 2.65, 4 As 2.92
As (0.8575, 0.1425, 0.5000)  6 As 2.64-2.92
W (0.5000, 0.5000, 0.5000)  8 As 2.65-2.92

Values from the calculation:
The magnetization comes out at 0.0 μB/f.u. Its crystal system is orthorhombic. For the energy relative to the elements, the calculation gives 0.39 eV per atom. The density of states at the Fermi level comes out at 2.24 states/eV/cell. The density comes out at 8.04 g cm⁻³. The value obtained for the energy relative to the lowest polymorph listed for this composition is 243.9 meV per atom.